DFT (PBE-GGA) results for an optimized crystal structure of Na3Pr2PdO6.

Cell lengths 5.9881, 10.3790, 5.9549 Å; angles 90.00, 108.48, 90.00 degrees
Closest atoms and distances in Å follow each position.
Space group C2/m (No. 12)
Unique sites:
Na (0.0000, 0.0000, 0.0000) [2 per cell]  6 O 2.49-2.75
Na (0.0000, 0.3480, 0.0000) [4 per cell]  6 O 2.44-2.68
Pr (0.0000, 0.1706, 0.5000) [4 per cell]  6 O 2.40-2.44
Pd (0.0000, 0.5000, 0.5000) [2 per cell]  6 O 2.10-2.34
O (0.2305, 0.5000, 0.2971) [4 per cell]  1 Pd 2.10
O (0.2384, 0.3392, 0.7317) [8 per cell]  1 Pd 2.34, 2 Pr 2.40, 2 Na 2.46-2.49

Output
Uncorrected formation energy: -1930 meV per atom